A.
SrAcAs2 | GGA-PBE | optimized geometry

Cell: 4.516 4.516 8.002 Å, 73.61 73.61 60.00°
Element x y z (fractional)
1 As 0.253 0.253 0.242
2 As 0.082 0.082 0.755
3 Sr 0.497 0.497 0.510
4 Ac 0.669 0.669 0.993

Calculated values
Space group: R3m (160)
Fermi-level density of states (states/eV/f.u.): 5.6
Size of the total moment (μB/f.u.): 0.00

B.
SrAcAs2 | GGA-PBE | optimized geometry

Cell: 4.546 4.546 7.810 Å, 73.08 73.08 60.00°
Element x y z (fractional)
1 As 0.252 0.252 0.244
2 Sr 0.500 0.500 0.500
3 Ac 0.000 0.000 0.000
4 As 0.748 0.748 0.756

Calculated values
Space group: R-3m (166)
Fermi-level density of states (states/eV/f.u.): 5.2
Size of the total moment (μB/f.u.): 0.00

The energy of each structure relative to the most stable one, in kJ/mol of atoms, is as follows: A 7.2; B 0.0.

A.
AcTaAs2 | GGA-PBE | optimized geometry

Cell: 4.043 4.043 7.179 Å, 73.65 73.65 60.00°
Element x y z (fractional)
1 As 0.267 0.267 0.199
2 Ac 0.500 0.500 0.500
3 As 0.733 0.733 0.801
4 Ta 0.000 0.000 0.000

Calculated values
Space group: R-3m (166)
Fermi-level density of states (states/eV/f.u.): 1.8
Size of the total moment (μB/f.u.): 0.00

B.
AcTaAs2 | GGA-PBE | optimized geometry

Cell: 3.441 3.441 7.353 Å, 90.00 90.00 90.00°
Element x y z (fractional)
1 As 0.000 0.000 0.197
2 Ta 0.500 0.500 0.000
3 Ac 0.500 0.500 0.500
4 As 0.000 0.000 0.803

Calculated values
Space group: P4/mmm (123)
Fermi-level density of states (states/eV/f.u.): 2.5
Size of the total moment (μB/f.u.): 0.00

The energy of each structure relative to the most stable one, in kJ/mol of atoms, is as follows: A 0.0; B 24.6.

A.
AcTbAs2 | GGA-PBE | optimized geometry

Cell: 5.285 5.285 5.285 Å, 60.00 60.00 60.00°
Element x y z (fractional)
1 As 0.250 0.250 0.250
2 Ac 0.500 0.500 0.500
3 Tb 0.000 0.000 0.000
4 As 0.750 0.750 0.750

Calculated values
Space group: Fm-3m (225)
Fermi-level density of states (states/eV/f.u.): 1.4
Size of the total moment (μB/f.u.): 0.00

B.
AcTbAs2 | GGA-PBE | optimized geometry

Cell: 4.289 4.289 7.831 Å, 74.11 74.11 60.00°
Element x y z (fractional)
1 Ac 0.669 0.669 0.992
2 As 0.089 0.089 0.734
3 Tb 0.498 0.498 0.505
4 As 0.244 0.244 0.269

Calculated values
Space group: R3m (160)
Fermi-level density of states (states/eV/f.u.): 0.2
Size of the total moment (μB/f.u.): 0.00

C.
AcTbAs2 | GGA-PBE | optimized geometry

Cell: 4.304 4.304 9.223 Å, 76.51 76.51 60.00°
Last column: magnetic moment on the atom in μB.
Element x y z (fractional)
1 As 0.889 0.889 0.333  0.01
2 Tb 0.500 0.500 0.500  0.01
3 As 0.111 0.111 0.667  0.01
4 Ac 0.000 0.000 0.000  0.09

Calculated values
Space group: R-3m (166)
Fermi-level density of states (states/eV/f.u.): 5.6
Size of the total moment (μB/f.u.): 0.37

The energy of each structure relative to the most stable one, in kJ/mol of atoms, is as follows: A 24.0; B 0.0; C 77.1.

A.
AcTcAs | GGA-PBE | optimized geometry

Cell: 4.579 4.307 4.307 Å, 120.00 90.00 90.00°
Last column: magnetic moment on the atom in μB.
Element x y z (fractional)
1 Ac 0.667 0.667 0.333  0.01
2 Tc 0.167 0.333 0.667  0.28
3 As 0.167 0.000 0.000  0.01

Calculated values
Space group: P-6m2 (187)
Fermi-level density of states (states/eV/f.u.): 3.6
Size of the total moment (μB/f.u.): 0.38

B.
AcTcAs | GGA-PBE | optimized geometry

Cell: 3.393 3.393 6.222 Å, 105.82 105.82 90.00°
Element x y z (fractional)
1 Tc 0.298 0.298 0.596
2 Ac 0.996 0.996 0.992
3 As 0.706 0.706 0.412

Calculated values
Space group: I4mm (107)
Fermi-level density of states (states/eV/f.u.): 2.8
Size of the total moment (μB/f.u.): 0.00

The energy of each structure relative to the most stable one, in kJ/mol of atoms, is as follows: A 0.0; B 17.2.

A.
Ac2TeAs | GGA-PBE | optimized geometry

Cell: 4.573 4.573 15.806 Å, 90.00 90.00 120.00°
Element x y z (fractional)
1 Ac 0.333 0.667 0.391
2 As 0.000 0.000 0.500
3 As 0.000 0.000 0.000
4 Ac 0.333 0.667 0.109
5 Ac 0.667 0.333 0.891
6 Te 0.667 0.333 0.250
7 Ac 0.667 0.333 0.609
8 Te 0.333 0.667 0.750

Calculated values
Space group: P6_3/mmc (194)
Fermi-level density of states (states/eV/f.u.): 1.8
Size of the total moment (μB/f.u.): 0.00

B.
Ac2TeAs | GGA-PBE | optimized geometry

Cell: 5.623 5.623 5.623 Å, 60.00 60.00 60.00°
Element x y z (fractional)
1 Ac 0.250 0.250 0.250
2 As 0.500 0.500 0.500
3 Te 0.000 0.000 0.000
4 Ac 0.750 0.750 0.750

Calculated values
Space group: Fm-3m (225)
Fermi-level density of states (states/eV/f.u.): 3.2
Size of the total moment (μB/f.u.): 0.00

The energy of each structure relative to the most stable one, in kJ/mol of atoms, is as follows: A 0.0; B 27.1.

A.
AcTe3As | GGA-PBE | optimized geometry

Cell: 7.966 8.459 10.592 Å, 90.00 96.24 90.00°
Element x y z (fractional)
1 Te 0.665 0.824 0.440
2 Ac 0.469 0.852 0.753
3 Ac 0.531 0.148 0.247
4 Te 0.335 0.176 0.560
5 Te 0.370 0.188 0.928
6 Te 0.851 0.007 0.828
7 As 0.425 0.564 0.095
8 As 0.575 0.436 0.905
9 Te 0.130 0.688 0.572
10 Ac 0.969 0.648 0.253
11 As 0.075 0.064 0.405
12 As 0.925 0.936 0.595
13 Te 0.870 0.312 0.428
14 Te 0.149 0.993 0.172
15 Te 0.835 0.324 0.060
16 Te 0.649 0.507 0.672
17 Te 0.165 0.676 0.940
18 Te 0.630 0.812 0.072
19 Te 0.351 0.493 0.328
20 Ac 0.031 0.352 0.747

Calculated values
Space group: P2_1/c (14)
Fermi-level density of states (states/eV/f.u.): 0.0
Size of the total moment (μB/f.u.): 0.00

B.
AcTe3As | GGA-PBE | optimized geometry

Cell: 4.507 9.084 15.446 Å, 90.00 90.00 90.00°
Element x y z (fractional)
1 Te 0.750 0.184 0.286
2 Te 0.750 0.684 0.214
3 Te 0.250 0.150 0.502
4 Ac 0.250 0.400 0.170
5 Te 0.750 0.850 0.498
6 Te 0.250 0.520 0.383
7 As 0.750 0.342 0.443
8 As 0.250 0.658 0.557
9 Te 0.750 0.480 0.617
10 Te 0.750 0.980 0.883
11 Te 0.250 0.650 0.998
12 Ac 0.750 0.600 0.830
13 Ac 0.750 0.100 0.670
14 Ac 0.250 0.900 0.330
15 As 0.250 0.158 0.943
16 Te 0.250 0.316 0.786
17 Te 0.250 0.020 0.117
18 Te 0.750 0.350 0.002
19 As 0.750 0.842 0.057
20 Te 0.250 0.816 0.714

Calculated values
Space group: Pnma (62)
Fermi-level density of states (states/eV/f.u.): 0.3
Size of the total moment (μB/f.u.): 0.00

The energy of each structure relative to the most stable one, in kJ/mol of atoms, is as follows: A 8.0; B 0.0.

A.
AcThAs2 | GGA-PBE | optimized geometry

Cell: 4.376 4.376 7.643 Å, 73.41 73.41 59.98°
Element x y z (fractional)
1 As 0.743 0.743 0.770
2 As 0.257 0.257 0.230
3 Th 0.000 0.000 0.000
4 Ac 0.500 0.500 0.500

Calculated values
Space group: R-3m (166)
Fermi-level density of states (states/eV/f.u.): 2.1
Size of the total moment (μB/f.u.): 0.00

B.
AcThAs2 | GGA-PBE | optimized geometry

Cell: 5.304 5.304 5.304 Å, 60.00 60.00 60.00°
Element x y z (fractional)
1 Th 0.500 0.500 0.500
2 As 0.750 0.750 0.750
3 Ac 0.000 0.000 0.000
4 As 0.250 0.250 0.250

Calculated values
Space group: Fm-3m (225)
Fermi-level density of states (states/eV/f.u.): 3.2
Size of the total moment (μB/f.u.): 0.00

C.
AcThAs2 | GGA-PBE | optimized geometry

Cell: 4.299 4.299 7.961 Å, 74.34 74.34 60.00°
Element x y z (fractional)
1 Ac 0.496 0.496 0.511
2 As 0.258 0.258 0.227
3 As 0.077 0.077 0.770
4 Th 0.669 0.669 0.992

Calculated values
Space group: R3m (160)
Fermi-level density of states (states/eV/f.u.): 2.9
Size of the total moment (μB/f.u.): 0.00

D.
AcThAs2 | GGA-PBE | optimized geometry

Cell: 4.340 4.340 14.631 Å, 90.00 90.00 120.00°
Element x y z (fractional)
1 Ac 0.667 0.333 0.250
2 As 0.667 0.333 0.614
3 Th 0.000 0.000 0.000
4 As 0.667 0.333 0.886
5 As 0.333 0.667 0.114
6 As 0.333 0.667 0.386
7 Th 0.000 0.000 0.500
8 Ac 0.333 0.667 0.750

Calculated values
Space group: P6_3/mmc (194)
Fermi-level density of states (states/eV/f.u.): 2.1
Size of the total moment (μB/f.u.): 0.00

The energy of each structure relative to the most stable one, in kJ/mol of atoms, is as follows: A 0.0; B 36.7; C 12.0; D 2.0.

A.
AcTl2As | GGA-PBE | optimized geometry

Cell: 5.504 4.625 4.625 Å, 90.00 90.00 90.00°
Element x y z (fractional)
1 Tl 0.000 0.500 0.000
2 Ac 0.500 0.500 0.500
3 Tl 0.000 0.000 0.500
4 As 0.500 0.000 0.000

Calculated values
Space group: P4/mmm (123)
Fermi-level density of states (states/eV/f.u.): 1.8
Size of the total moment (μB/f.u.): 0.00

B.
AcTl2As | GGA-PBE | optimized geometry

Cell: 3.927 3.927 10.852 Å, 79.58 79.58 60.00°
Element x y z (fractional)
1 Ac 0.000 0.000 0.000
2 As 0.500 0.500 0.500
3 Tl 0.892 0.892 0.323
4 Tl 0.108 0.108 0.677

Calculated values
Space group: R-3m (166)
Fermi-level density of states (states/eV/f.u.): 3.6
Size of the total moment (μB/f.u.): 0.00

The energy of each structure relative to the most stable one, in kJ/mol of atoms, is as follows: A 0.0; B 62.4.

A.
AcTlAs2 | GGA-PBE | optimized geometry

Cell: 5.015 5.015 5.801 Å, 64.39 64.39 60.00°
Element x y z (fractional)
1 As 0.725 0.725 0.824
2 Tl 0.000 0.000 0.000
3 As 0.275 0.275 0.176
4 Ac 0.500 0.500 0.500

Calculated values
Space group: R-3m (166)
Fermi-level density of states (states/eV/f.u.): 2.3
Size of the total moment (μB/f.u.): 0.00

B.
AcTlAs2 | GGA-PBE | optimized geometry

Cell: 4.249 4.249 6.827 Å, 90.00 90.00 90.00°
Element x y z (fractional)
1 Tl 0.500 0.500 0.000
2 As 0.000 0.000 0.688
3 Ac 0.500 0.500 0.500
4 As 0.000 0.000 0.312

Calculated values
Space group: P4/mmm (123)
Fermi-level density of states (states/eV/f.u.): 2.1
Size of the total moment (μB/f.u.): 0.00

C.
AcTlAs2 | GGA-PBE | optimized geometry

Cell: 4.259 4.999 4.999 Å, 90.00 90.00 90.00°
Element x y z (fractional)
1 As 0.000 0.000 0.500
2 Ac 0.500 0.500 0.500
3 Tl 0.500 0.000 0.000
4 As 0.000 0.500 0.000

Calculated values
Space group: P4/mmm (123)
Fermi-level density of states (states/eV/f.u.): 1.6
Size of the total moment (μB/f.u.): 0.00

The energy of each structure relative to the most stable one, in kJ/mol of atoms, is as follows: A 11.1; B 0.0; C 0.9.

A.
AcTmAs2 | GGA-PBE | optimized geometry

Cell: 3.739 5.262 5.262 Å, 90.00 90.00 90.00°
Element x y z (fractional)
1 As 0.000 0.500 0.000
2 Tm 0.500 0.000 0.000
3 Ac 0.500 0.500 0.500
4 As 0.000 0.000 0.500

Calculated values
Space group: P4/mmm (123)
Fermi-level density of states (states/eV/f.u.): 1.6
Size of the total moment (μB/f.u.): 0.00

B.
AcTmAs2 | GGA-PBE | optimized geometry

Cell: 4.311 4.311 7.457 Å, 73.21 73.21 60.02°
Element x y z (fractional)
1 Ac 0.500 0.500 0.500
2 Tm 0.000 0.000 0.000
3 As 0.741 0.741 0.777
4 As 0.259 0.259 0.223

Calculated values
Space group: R-3m (166)
Fermi-level density of states (states/eV/f.u.): 0.5
Size of the total moment (μB/f.u.): 0.00

The energy of each structure relative to the most stable one, in kJ/mol of atoms, is as follows: A 45.3; B 0.0.

A.
AcTmAs2 | GGA-PBE | optimized geometry

Cell: 5.248 5.248 5.248 Å, 60.00 60.00 60.00°
Element x y z (fractional)
1 Ac 0.500 0.500 0.500
2 As 0.250 0.250 0.250
3 As 0.750 0.750 0.750
4 Tm 0.000 0.000 0.000

Calculated values
Space group: Fm-3m (225)
Fermi-level density of states (states/eV/f.u.): 1.1
Size of the total moment (μB/f.u.): 0.00

B.
AcTmAs2 | GGA-PBE | optimized geometry

Cell: 4.236 4.236 7.729 Å, 74.10 74.10 60.00°
Element x y z (fractional)
1 Tm 0.669 0.669 0.994
2 As 0.260 0.260 0.221
3 Ac 0.498 0.498 0.507
4 As 0.074 0.074 0.777

Calculated values
Space group: R3m (160)
Fermi-level density of states (states/eV/f.u.): 0.3
Size of the total moment (μB/f.u.): 0.00

The energy of each structure relative to the most stable one, in kJ/mol of atoms, is as follows: A 30.3; B 0.0.

A.
AcUAs2 | GGA-PBE | optimized geometry

Cell: 3.656 3.656 7.416 Å, 90.00 90.00 90.00°
Last column: magnetic moment on the atom in μB.
Element x y z (fractional)
1 U 0.500 0.500 0.000  2.39
2 As 0.000 0.000 0.777  -0.09
3 As 0.000 0.000 0.223  -0.09
4 Ac 0.500 0.500 0.500  0.05

Calculated values
Space group: P4/mmm (123)
Fermi-level density of states (states/eV/f.u.): 4.0
Size of the total moment (μB/f.u.): 2.61

B.
AcUAs2 | GGA-PBE | optimized geometry

Cell: 5.231 5.231 5.231 Å, 60.00 60.00 60.00°
Last column: magnetic moment on the atom in μB.
Element x y z (fractional)
1 As 0.750 0.750 0.750  -0.10
2 As 0.250 0.250 0.250  -0.10
3 Ac 0.500 0.500 0.500  0.13
4 U 0.000 0.000 0.000  2.57

Calculated values
Space group: Fm-3m (225)
Fermi-level density of states (states/eV/f.u.): 4.9
Size of the total moment (μB/f.u.): 2.88

The energy of each structure relative to the most stable one, in kJ/mol of atoms, is as follows: A 0.0; B 10.8.